VASP calculation (PBE) on BiAsIO4 after structural relaxation.

Total energy, eV per atom: -5.252
Space-group type: C2/m, No. 12
Raw formation energy, kcal/mol of atoms: -22.6

Cell and atoms, written as extended XYZ:
```
14
Lattice="-1.835 -5.645 3.270 -2.878 -5.087 -3.431 5.536 -3.887 -1.185" Properties=species:S:1:pos:R:3 pbc="T T T"
As -0.284 -4.941 -0.368
I -0.724 -13.158 -0.984
O 1.908 -10.765 0.148
Bi -2.371 -8.209 -0.315
O -1.085 -3.854 -1.494
As 1.106 -9.679 -0.979
O 1.390 -5.018 -0.635
O -0.568 -9.602 -0.712
O 1.503 -10.548 -2.455
O 1.802 -8.121 -0.957
O -0.680 -4.071 1.108
O -0.979 -6.498 -0.389
Bi 3.193 -6.410 -1.031
I 1.547 -1.461 -0.362
```